(1)
{"formula": "BePd5", "functional": "PBE", "state": "optimized geometry", "lattice_angstrom": [[5.0385, 0.0000, 0.0000], [-2.5192, 4.3634, 0.0000], [0.0000, 0.0000, 4.5460]], "species": ["Pd", "Pd", "Pd", "Pd", "Pd", "Be"], "fractional_positions": [[0.5000, 0.5000, 0.5000], [0.5000, 0.0000, 0.5000], [0.6667, 0.3333, 0.0000], [0.3333, 0.6667, 0.0000], [0.0000, 0.5000, 0.5000], [0.0000, 0.0000, 0.0000]], "sg": "P6/mmm (191)", "total_energy_ev_per_atom": -4.56}



(2)
{"formula": "DyTmGa4", "functional": "PBE", "state": "optimized geometry", "lattice_angstrom": [[4.3065, 0.0000, 0.0000], [0.0000, 2.1418, 6.6598], [0.0000, -2.1418, 6.6598]], "species": ["Ga", "Ga", "Ga", "Ga", "Tm", "Dy"], "fractional_positions": [[0.5000, 0.8255, 0.8255], [0.0000, 0.9986, 0.9986], [0.5000, 0.1776, 0.1776], [0.5000, 0.4986, 0.4986], [0.0000, 0.3483, 0.3483], [0.0000, 0.6514, 0.6514]], "sg": "Amm2 (38)", "relative_energy_ev_per_atom": 0.030, "total_magnetization_mub_per_cell": 0.00}



(3)
{"formula": "Mo2Pt", "functional": "PBE", "state": "optimized geometry", "lattice_angstrom": [[0.0000, 3.6463, 3.6463], [3.6463, 0.0000, 3.6463], [3.6463, 3.6463, 0.0000]], "species": ["Pt", "Pt", "Mo", "Mo", "Mo", "Mo"], "fractional_positions": [[0.0000, 0.0000, 0.0000], [0.2500, 0.2500, 0.2500], [0.6250, 0.1250, 0.6250], [0.1250, 0.6250, 0.6250], [0.6250, 0.6250, 0.1250], [0.6250, 0.6250, 0.6250]], "sg": "Fd-3m (227)", "formation_energy_ev_per_fu": 0.47, "relative_energy_ev_per_atom": 0.255, "total_magnetization_mub_per_cell": 0.00}



(4)
{"formula": "Lu2Sb", "functional": "PBE", "state": "optimized geometry", "lattice_angstrom": [[4.7932, 2.7674, 7.8273], [-4.7932, 2.7674, 7.8273], [0.0000, -5.5347, 7.8273]], "species": ["Lu", "Lu", "Lu", "Lu", "Sb", "Sb"], "fractional_positions": [[0.8750, 0.3750, 0.3750], [0.3750, 0.8750, 0.3750], [0.3750, 0.3750, 0.8750], [0.3750, 0.3750, 0.3750], [0.5000, 0.5000, 0.5000], [0.2500, 0.2500, 0.2500]], "sg": "Fd-3m (227)", "total_energy_ev_per_atom": -3.28, "total_magnetization_mub_per_cell": 2.01}



(5)
{"formula": "BaSrZn4", "functional": "PBE", "state": "optimized geometry", "lattice_angstrom": [[1.0095, -4.0007, 4.4907], [-6.0579, -0.5494, -0.4367], [4.6151, -1.5218, -3.6846]], "species": ["Zn", "Zn", "Zn", "Zn", "Sr", "Ba"], "fractional_positions": [[0.8530, 0.1675, 0.6855], [0.4819, 0.1675, 0.3145], [0.0212, 0.8369, 0.1843], [0.6527, 0.8369, 0.8157], [0.0430, 0.5431, 0.5000], [0.4481, 0.4481, 0.0000]], "sg": "Imm2 (44)", "total_energy_ev_per_atom": -1.65}



(6)
{"formula": "PrGa2Co", "functional": "PBE", "state": "optimized geometry", "lattice_angstrom": [[-9.0331, 0.4421, -0.8712], [7.6556, -1.0326, 4.7830], [0.1369, 4.1176, 0.6698]], "species": ["Ga", "Ga", "Ga", "Ga", "Pr", "Pr", "Co", "Co"], "fractional_positions": [[0.2075, 0.7925, 0.0000], [0.7925, 0.2075, 0.0000], [0.5000, 0.5000, 0.0000], [0.0000, 0.0000, 0.5000], [0.6422, 0.3578, 0.5000], [0.3578, 0.6422, 0.5000], [0.9286, 0.0714, 0.0000], [0.0714, 0.9286, 0.0000]], "sg": "Cmmm (65)", "total_energy_ev_per_atom": -5.00, "total_magnetization_mub_per_cell": 0.00}



(7)
{"formula": "TaCoAs", "functional": "PBE", "state": "optimized geometry", "lattice_angstrom": [[6.2780, 0.0000, 0.0000], [0.0000, 3.7356, 0.0000], [0.0000, 0.0000, 7.1613]], "species": ["Co", "Co", "Co", "Co", "Ta", "Ta", "Ta", "Ta", "As", "As", "As", "As"], "fractional_positions": [[0.3433, 0.7500, 0.9313], [0.8433, 0.7500, 0.5687], [0.6567, 0.2500, 0.0687], [0.1567, 0.2500, 0.4313], [0.0211, 0.2500, 0.8302], [0.4789, 0.7500, 0.3302], [0.5211, 0.2500, 0.6698], [0.9789, 0.7500, 0.1698], [0.7161, 0.7500, 0.8799], [0.2161, 0.7500, 0.6201], [0.7839, 0.2500, 0.3799], [0.2839, 0.2500, 0.1201]], "sg": "Pnma (62)", "total_energy_ev_per_atom": -8.29, "total_magnetization_mub_per_cell": 0.05}



(8)
{"formula": "Ho3Zn3Ni2Ir", "functional": "PBE", "state": "optimized geometry", "lattice_angstrom": [[7.0035, 0.0000, 0.0000], [-3.5018, 6.0652, 0.0000], [0.0000, 0.0000, 3.8788]], "species": ["Zn", "Zn", "Zn", "Ho", "Ho", "Ho", "Ni", "Ni", "Ir"], "fractional_positions": [[0.7471, 0.7471, 0.5000], [0.0000, 0.2529, 0.5000], [0.2529, 0.0000, 0.5000], [0.0000, 0.5912, 0.0000], [0.5912, 0.0000, 0.0000], [0.4088, 0.4088, 0.0000], [0.6667, 0.3333, 0.5000], [0.3333, 0.6667, 0.5000], [0.0000, 0.0000, 0.0000]], "sg": "P-62m (189)", "formation_energy_ev_per_fu": -4.71, "total_magnetization_mub_per_cell": 0.00}



(9)
{"formula": "SiOsNO", "functional": "PBE", "state": "optimized geometry", "lattice_angstrom": [[4.9570, 0.0000, 0.0000], [0.0000, 7.5050, 0.0000], [0.0000, 0.0000, 5.2271]], "species": ["O", "O", "O", "O", "N", "N", "N", "N", "Si", "Si", "Si", "Si", "Os", "Os", "Os", "Os"], "fractional_positions": [[0.2986, 0.9177, 0.2428], [0.7986, 0.0823, 0.2428], [0.7014, 0.0823, 0.7428], [0.2014, 0.9177, 0.7428], [0.4255, 0.3222, 0.0559], [0.9255, 0.6778, 0.0559], [0.5745, 0.6778, 0.5559], [0.0745, 0.3222, 0.5559], [0.7606, 0.2101, 0.4949], [0.2606, 0.7899, 0.4949], [0.7394, 0.2101, 0.9949], [0.2394, 0.7899, 0.9949], [0.4202, 0.4424, 0.4088], [0.5798, 0.5576, 0.9088], [0.9202, 0.5576, 0.4088], [0.0798, 0.4424, 0.9088]], "sg": "Pca2_1 (29)", "relative_energy_ev_per_atom": 0.006, "total_magnetization_mub_per_cell": 0.00}



(10)
{"formula": "AlTc2", "functional": "PBE", "state": "optimized geometry", "lattice_angstrom": [[0.1208, 2.8412, 0.9226], [2.9161, -0.3125, 0.5806], [-0.4861, 0.1316, -5.1855]], "species": ["Al", "Tc", "Tc"], "fractional_positions": [[0.0000, 0.0000, 0.0000], [0.3312, 0.3312, 0.6623], [0.6688, 0.6688, 0.3377]], "sg": "I4/mmm (139)", "relative_energy_ev_per_atom": 0.000, "total_magnetization_mub_per_cell": 0.00}



(11)
{"formula": "Nd2TmMg3CdGa2", "functional": "PBE", "state": "optimized geometry", "lattice_angstrom": [[4.5443, 0.0000, 0.0000], [0.0000, 6.3917, 3.7621], [0.0000, -6.3917, 3.7621]], "species": ["Nd", "Nd", "Ga", "Ga", "Mg", "Mg", "Mg", "Tm", "Cd"], "fractional_positions": [[0.0000, 0.0030, 0.4311], [0.0000, 0.4311, 0.0030], [0.5000, 0.3410, 0.6657], [0.5000, 0.6657, 0.3410], [0.5000, 0.2473, 0.2473], [0.5000, 0.7513, 0.9996], [0.5000, 0.9996, 0.7513], [0.0000, 0.5712, 0.5712], [0.0000, 0.9898, 0.9898]], "sg": "Amm2 (38)", "total_energy_ev_per_atom": -3.27, "total_magnetization_mub_per_cell": 0.00}



(12)
{"formula": "PrAs2IrPd", "functional": "PBE", "state": "optimized geometry", "lattice_angstrom": [[4.4126, 0.0000, 0.0000], [0.0000, 4.4126, 0.0000], [0.0000, 0.0000, 9.9202]], "species": ["Pd", "Pd", "As", "As", "As", "As", "Ir", "Ir", "Pr", "Pr"], "fractional_positions": [[0.5000, 0.5000, 0.5000], [0.0000, 0.0000, 0.5000], [0.5000, 0.5000, 0.0000], [0.0000, 0.5000, 0.3605], [0.0000, 0.0000, 0.0000], [0.5000, 0.0000, 0.6395], [0.5000, 0.0000, 0.8873], [0.0000, 0.5000, 0.1127], [0.5000, 0.0000, 0.2471], [0.0000, 0.5000, 0.7529]], "sg": "P4/nmm (129)", "relative_energy_ev_per_atom": 0.000, "total_magnetization_mub_per_cell": 0.00}